## ZnGa3Ni12 (PBE-GGA)

Data for a relaxed ZnGa3Ni12 crystal.

Computed properties:
Formation enthalpy at 0 K (eV/atom): -0.242
D(E_F) (states/eV/f.u.): 15.39
Symmetry: P4/mmm (123)

```
data_ZnGa3Ni12
_cell_length_a 3.585
_cell_length_b 3.585
_cell_length_c 14.295
_cell_angle_alpha 90.00
_cell_angle_beta 90.00
_cell_angle_gamma 90.00
_symmetry_space_group_name_H-M 'P 1'
_symmetry_Int_Tables_number 1
loop_
_symmetry_equiv_pos_as_xyz
'x,y,z'
loop_
_atom_site_label
_atom_site_fract_x
_atom_site_fract_y
_atom_site_fract_z
Zn1 0.000 0.000 0.000
Ga1 0.000 0.000 0.250
Ga2 0.000 0.000 0.500
Ga3 0.000 0.000 0.750
Ni1 0.000 0.500 0.125
Ni2 0.000 0.500 0.375
Ni3 0.000 0.500 0.625
Ni4 0.000 0.500 0.875
Ni5 0.500 0.000 0.125
Ni6 0.500 0.000 0.375
Ni7 0.500 0.000 0.625
Ni8 0.500 0.000 0.875
Ni9 0.500 0.500 0.000
Ni10 0.500 0.500 0.250
Ni11 0.500 0.500 0.500
Ni12 0.500 0.500 0.750
```

## I2Br (PBE-GGA)

Data for a relaxed I2Br crystal.

Computed properties:
Symmetry: C2 (5)
Raw formation energy (eV/atom): -0.0243

```
data_I2Br
_cell_length_a 5.076
_cell_length_b 5.076
_cell_length_c 12.578
_cell_angle_alpha 96.93
_cell_angle_beta 96.93
_cell_angle_gamma 86.79
_symmetry_space_group_name_H-M 'P 1'
_symmetry_Int_Tables_number 1
loop_
_symmetry_equiv_pos_as_xyz
'x,y,z'
loop_
_atom_site_label
_atom_site_fract_x
_atom_site_fract_y
_atom_site_fract_z
I1 0.039 0.510 0.656
I2 0.103 0.103 0.174
I3 0.490 0.961 0.344
I4 0.897 0.897 0.826
Br1 0.240 0.760 0.500
Br2 0.751 0.249 0.000
```

## Bi3PdBr (PBE-GGA)

Data for a relaxed Bi3PdBr crystal.

Computed properties:
D(E_F) (states/eV/f.u.): 11.43
Symmetry: Pm-3m (221)
Raw formation energy (eV/atom): 0.2615

```
data_Bi3PdBr
_cell_length_a 5.462
_cell_length_b 5.462
_cell_length_c 5.462
_cell_angle_alpha 90.00
_cell_angle_beta 90.00
_cell_angle_gamma 90.00
_symmetry_space_group_name_H-M 'P 1'
_symmetry_Int_Tables_number 1
loop_
_symmetry_equiv_pos_as_xyz
'x,y,z'
loop_
_atom_site_label
_atom_site_fract_x
_atom_site_fract_y
_atom_site_fract_z
Bi1 0.000 0.000 0.500
Bi2 0.000 0.500 0.000
Bi3 0.500 0.000 0.000
Pd1 0.000 0.000 0.000
Br1 0.500 0.500 0.500
```

## HgP4Se (PBE-GGA)

Data for a relaxed HgP4Se crystal.

Computed properties:
D(E_F) (states/eV/f.u.): 0.35
Symmetry: Pmn2_1 (31)
Raw formation energy (eV/atom): 0.1382

```
data_HgP4Se
_cell_length_a 5.206
_cell_length_b 5.635
_cell_length_c 11.375
_cell_angle_alpha 90.00
_cell_angle_beta 90.00
_cell_angle_gamma 90.00
_symmetry_space_group_name_H-M 'P 1'
_symmetry_Int_Tables_number 1
loop_
_symmetry_equiv_pos_as_xyz
'x,y,z'
loop_
_atom_site_label
_atom_site_fract_x
_atom_site_fract_y
_atom_site_fract_z
Hg1 0.000 0.038 0.000
Hg2 0.500 0.962 0.500
P1 0.000 0.647 0.748
P2 0.000 0.709 0.152
P3 0.218 0.567 0.586
P4 0.282 0.433 0.086
P5 0.500 0.291 0.652
P6 0.500 0.353 0.248
P7 0.718 0.433 0.086
P8 0.782 0.567 0.586
Se1 0.000 0.050 0.769
Se2 0.500 0.950 0.269
```

## TiSn (PBE-GGA)

Data for a relaxed TiSn crystal.

Computed properties:
Formation enthalpy at 0 K (eV/atom): 0.793
D(E_F) (states/eV/f.u.): 1.03
Symmetry: Pm-3n (223)

```
data_TiSn
_cell_length_a 7.701
_cell_length_b 7.701
_cell_length_c 7.701
_cell_angle_alpha 90.00
_cell_angle_beta 90.00
_cell_angle_gamma 90.00
_symmetry_space_group_name_H-M 'P 1'
_symmetry_Int_Tables_number 1
loop_
_symmetry_equiv_pos_as_xyz
'x,y,z'
loop_
_atom_site_label
_atom_site_fract_x
_atom_site_fract_y
_atom_site_fract_z
Ti1 0.000 0.250 0.500
Ti2 0.000 0.750 0.500
Ti3 0.250 0.500 0.000
Ti4 0.500 0.000 0.250
Ti5 0.500 0.000 0.750
Ti6 0.750 0.500 0.000
Sn1 0.000 0.500 0.250
Sn2 0.000 0.500 0.750
Sn3 0.250 0.000 0.500
Sn4 0.500 0.250 0.000
Sn5 0.500 0.750 0.000
Sn6 0.750 0.000 0.500
```

## CsNpBr5 (PBE-GGA)

Data for a relaxed CsNpBr5 crystal.

Computed properties:
D(E_F) (states/eV/f.u.): 5.46
Symmetry: C2/c (15)
Raw formation energy (eV/atom): -1.4125

```
data_CsNpBr5
_cell_length_a 8.051
_cell_length_b 8.051
_cell_length_c 11.436
_cell_angle_alpha 109.59
_cell_angle_beta 109.59
_cell_angle_gamma 67.72
_symmetry_space_group_name_H-M 'P 1'
_symmetry_Int_Tables_number 1
loop_
_symmetry_equiv_pos_as_xyz
'x,y,z'
loop_
_atom_site_label
_atom_site_fract_x
_atom_site_fract_y
_atom_site_fract_z
Cs1 0.025 0.975 0.750
Cs2 0.975 0.025 0.250
Np1 0.500 0.500 0.000
Np2 0.500 0.500 0.500
Br1 0.126 0.668 0.975
Br2 0.163 0.447 0.389
Br3 0.332 0.874 0.525
Br4 0.447 0.163 0.889
Br5 0.449 0.551 0.750
Br6 0.551 0.449 0.250
Br7 0.553 0.837 0.111
Br8 0.668 0.126 0.475
Br9 0.837 0.553 0.611
Br10 0.874 0.332 0.025
```

## BaTc2Os (PBE-GGA)

Data for a relaxed BaTc2Os crystal.

Computed properties:
Formation enthalpy at 0 K (eV/atom): 1.088
D(E_F) (states/eV/f.u.): 4.21
Symmetry: Immm (71)

```
data_BaTc2Os
_cell_length_a 5.836
_cell_length_b 5.836
_cell_length_c 5.836
_cell_angle_alpha 149.45
_cell_angle_beta 123.81
_cell_angle_gamma 65.32
_symmetry_space_group_name_H-M 'P 1'
_symmetry_Int_Tables_number 1
loop_
_symmetry_equiv_pos_as_xyz
'x,y,z'
loop_
_atom_site_label
_atom_site_fract_x
_atom_site_fract_y
_atom_site_fract_z
Ba1 0.000 0.000 0.000
Tc1 0.298 0.798 0.500
Tc2 0.702 0.202 0.500
Os1 0.500 0.500 0.000
```

## Er6AlIr2 (PBE-GGA)

Data for a relaxed Er6AlIr2 crystal.

Computed properties:
Formation enthalpy at 0 K (eV/atom): -0.615
D(E_F) (states/eV/f.u.): 6.85
Symmetry: Immm (71)

```
data_Er6AlIr2
_cell_length_a 8.372
_cell_length_b 8.372
_cell_length_c 8.372
_cell_angle_alpha 112.83
_cell_angle_beta 112.26
_cell_angle_gamma 103.48
_symmetry_space_group_name_H-M 'P 1'
_symmetry_Int_Tables_number 1
loop_
_symmetry_equiv_pos_as_xyz
'x,y,z'
loop_
_atom_site_label
_atom_site_fract_x
_atom_site_fract_y
_atom_site_fract_z
Er1 0.042 0.240 0.802
Er2 0.180 0.286 0.466
Er3 0.180 0.714 0.894
Er4 0.333 0.025 0.692
Er5 0.333 0.640 0.308
Er6 0.438 0.240 0.198
Er7 0.562 0.760 0.802
Er8 0.667 0.360 0.692
Er9 0.667 0.975 0.308
Er10 0.820 0.286 0.106
Er11 0.820 0.714 0.534
Er12 0.958 0.760 0.198
Al1 0.000 0.000 0.000
Al2 0.500 0.500 0.000
Ir1 0.134 0.634 0.500
Ir2 0.322 0.000 0.322
Ir3 0.678 0.000 0.678
Ir4 0.866 0.366 0.500
```